Run 1
DFT (PBE) results for a relaxed Na2YBr5 crystal.

The structure in POSCAR format:
```
Na2YBr5
1.0
5.671 0.000 0.000
-2.835 7.308 0.000
0.000 0.000 14.298
Na Y Br
4 2 10
Cartesian
2.835 5.137 6.344
2.835 5.137 0.805
0.000 2.172 7.954
0.000 2.172 13.493
2.835 4.614 10.724
0.000 2.695 3.575
2.835 6.630 12.578
2.835 6.630 8.870
0.000 4.500 5.785
0.000 4.500 1.364
2.835 3.208 3.575
0.000 4.100 10.724
2.835 2.809 8.513
2.835 2.809 12.934
0.000 0.678 1.721
0.000 0.678 5.429
```



Run 2
DFT (PBE) results for a relaxed Na2YBr5 crystal.

The structure in POSCAR format:
```
Na2YBr5
1.0
8.309 0.000 0.000
0.000 8.741 0.000
0.000 0.000 12.827
Na Y Br
8 4 20
Cartesian
3.959 4.301 10.561
4.350 4.439 2.266
8.113 4.439 8.680
4.350 8.672 2.266
0.196 4.301 4.147
3.959 0.069 10.561
0.196 0.069 4.147
8.113 8.672 8.680
3.470 2.185 6.515
4.839 6.555 6.312
7.624 6.555 12.726
0.684 2.185 0.101
0.519 2.185 6.601
7.789 6.555 6.226
4.673 6.555 12.640
3.635 2.185 0.187
2.809 8.336 7.511
5.499 0.405 5.316
6.964 0.405 11.730
5.499 3.966 5.316
1.345 8.336 1.097
2.809 4.775 7.511
1.345 4.775 1.097
6.964 3.966 11.730
1.527 2.185 10.197
6.782 6.555 2.630
5.681 6.555 9.044
2.628 2.185 3.783
5.263 2.185 8.750
3.046 6.555 4.077
1.108 6.555 10.491
7.200 2.185 2.336
```



What is the most stable structure shown above? It is run 1.